(1)
! PBE FeRu2Cl, optimized geometry; values from VASP
&SYSTEM
  ibrav = 0, nat = 8, ntyp = 3
/
ATOMIC_SPECIES
Fe 55.84 Fe.upf
Ru 101.07 Ru.upf
Cl 35.45 Cl.upf
ATOMIC_POSITIONS angstrom
Fe 0.000 0.000 0.000
Fe 1.412 2.188 4.484
Ru 0.000 0.000 4.786
Ru 0.000 2.188 6.981
Ru 1.412 0.000 2.496
Ru 1.412 2.188 0.301
Cl 0.000 2.188 2.377
Cl 1.412 0.000 6.862
CELL_PARAMETERS angstrom
2.824 0.000 0.000
0.000 4.375 0.000
0.000 0.000 8.969
! - Energy: -0.481 Ry per atom
! - ΔE_f (raw): 0.68 eV per atom
! - Magnetic moment: 3.36 μB/f.u.
! - DOS at the Fermi energy: 8.3 states/eV per cell
! - E above lowest polymorph: 0.3719 eV/atom

(2)
! PBE Cs3NaU2S9, optimized geometry; values from VASP
&SYSTEM
  ibrav = 0, nat = 15, ntyp = 4
/
ATOMIC_SPECIES
Cs 132.91 Cs.upf
Na 22.99 Na.upf
U 238.03 U.upf
S 32.06 S.upf
ATOMIC_POSITIONS angstrom
Cs 0.000 0.000 0.000
Cs 0.000 4.338 6.105
Cs 3.757 2.169 3.242
Na 0.000 0.000 4.673
U 0.000 4.338 1.503
U 3.757 2.169 7.844
S -1.879 3.254 0.000
S 0.000 2.307 2.910
S -1.759 5.354 2.910
S 1.998 1.153 6.437
S 3.757 0.000 0.000
S 1.879 3.254 0.000
S 1.759 5.354 2.910
S 5.517 1.153 6.437
S 3.757 4.201 6.437
CELL_PARAMETERS angstrom
7.514 0.000 0.000
-3.757 6.508 0.000
0.000 0.000 9.347
! - Energy: -0.393 Ry per atom
! - ΔE_f (raw): -1.10 eV per atom
! - Magnetic moment: 0.00 μB/f.u.
! - DOS at the Fermi energy: 9.7 states/eV per cell

(3)
! PBE HoErBe2, optimized geometry; values from VASP
&SYSTEM
  ibrav = 0, nat = 16, ntyp = 3
/
ATOMIC_SPECIES
Ho 164.93 Ho.upf
Er 167.26 Er.upf
Be 9.01 Be.upf
ATOMIC_POSITIONS angstrom
Ho 0.000 0.000 0.000
Ho 0.000 3.385 3.385
Ho 3.385 0.000 3.385
Ho 3.385 3.385 0.000
Er 0.000 0.000 3.385
Er 0.000 3.385 0.000
Er 3.385 0.000 0.000
Er 3.385 3.385 3.385
Be 1.693 1.693 1.693
Be 1.693 1.693 5.078
Be 1.693 5.078 1.693
Be 1.693 5.078 5.078
Be 5.078 1.693 1.693
Be 5.078 1.693 5.078
Be 5.078 5.078 1.693
Be 5.078 5.078 5.078
CELL_PARAMETERS angstrom
6.771 0.000 0.000
0.000 6.771 0.000
0.000 0.000 6.771
! - Energy: -0.299 Ry per atom
! - Magnetic moment: 0.00 μB/f.u.
! - DOS at the Fermi energy: 16.3 states/eV per cell
! - E above lowest polymorph: 0.0002 eV/atom

(4)
! PBE PmH2Pd3, optimized geometry; values from VASP
&SYSTEM
  ibrav = 0, nat = 6, ntyp = 3
/
ATOMIC_SPECIES
Pm 145.00 Pm.upf
H 1.01 H.upf
Pd 106.42 Pd.upf
ATOMIC_POSITIONS angstrom
Pm 0.000 0.000 0.000
H 0.000 3.172 0.000
H 2.747 1.586 0.000
Pd -1.374 2.379 1.511
Pd 2.747 0.000 1.511
Pd 1.374 2.379 1.511
CELL_PARAMETERS angstrom
5.494 0.000 0.000
-2.747 4.758 0.000
0.000 0.000 3.023
! - Energy: -0.352 Ry per atom
! - Magnetic moment: 0.00 μB/f.u.
! - DOS at the Fermi energy: 1.5 states/eV per cell

(5)
! PBE Tb2Zn3Pd, optimized geometry; values from VASP
&SYSTEM
  ibrav = 0, nat = 12, ntyp = 3
/
ATOMIC_SPECIES
Tb 158.93 Tb.upf
Zn 65.41 Zn.upf
Pd 106.42 Pd.upf
ATOMIC_POSITIONS angstrom
Tb 5.280 4.491 7.761
Tb 1.744 2.245 3.881
Tb 5.232 6.736 11.642
Tb 1.696 4.491 7.761
Zn 3.488 2.262 6.480
Zn 3.488 2.262 9.042
Zn 3.488 4.491 5.212
Zn 3.488 4.491 10.310
Zn 3.488 6.720 6.480
Zn 3.488 6.720 9.042
Pd 3.488 4.491 2.599
Pd 3.488 4.491 12.923
CELL_PARAMETERS angstrom
0.000 4.491 7.761
3.488 0.000 7.761
3.488 4.491 0.000
! - Energy: -0.263 Ry per atom
! - Magnetic moment: 0.00 μB/f.u.
! - DOS at the Fermi energy: 8.2 states/eV per cell
! - E above lowest polymorph: 0.0023 eV/atom

(6)
! PBE RbCd2InHg8, optimized geometry; values from VASP
&SYSTEM
  ibrav = 0, nat = 12, ntyp = 4
/
ATOMIC_SPECIES
Rb 85.47 Rb.upf
Cd 112.41 Cd.upf
In 114.82 In.upf
Hg 200.59 Hg.upf
ATOMIC_POSITIONS angstrom
Rb 0.000 0.000 0.000
Cd 0.557 0.000 6.944
Cd 5.208 0.000 2.797
In 2.882 0.000 4.871
Hg 2.519 1.795 2.451
Hg -0.460 0.000 4.069
Hg 3.663 0.000 0.070
Hg 3.246 1.795 7.291
Hg 2.519 -1.795 2.451
Hg 2.102 0.000 9.671
Hg 6.225 0.000 5.673
Hg 3.246 -1.795 7.291
CELL_PARAMETERS angstrom
5.249 -3.425 0.000
5.249 3.425 0.000
-4.732 0.000 9.742
! - Energy: -0.053 Ry per atom
! - Magnetic moment: 0.00 μB/f.u.
! - DOS at the Fermi energy: 4.6 states/eV per cell

(7)
! PBE La3Pr4Sm2, optimized geometry; values from VASP
&SYSTEM
  ibrav = 0, nat = 9, ntyp = 3
/
ATOMIC_SPECIES
La 138.91 La.upf
Pr 140.91 Pr.upf
Sm 150.36 Sm.upf
ATOMIC_POSITIONS angstrom
La 0.000 0.000 0.000
La -0.033 0.000 6.279
La 9.895 0.000 2.897
Pr 1.970 0.000 3.418
Pr 3.731 0.000 0.386
Pr 6.132 0.000 8.791
Pr 7.893 0.000 5.759
Sm 3.753 0.000 6.414
Sm 6.110 0.000 2.762
CELL_PARAMETERS angstrom
5.960 -2.972 0.000
5.960 2.972 0.000
-2.057 0.000 9.177
! - Energy: -0.348 Ry per atom
! - Magnetic moment: 0.00 μB/f.u.
! - DOS at the Fermi energy: 13.1 states/eV per cell
! - E above lowest polymorph: 0.0182 eV/atom

(8)
! PBE HgP, optimized geometry; values from VASP
&SYSTEM
  ibrav = 0, nat = 8, ntyp = 2
/
ATOMIC_SPECIES
Hg 200.59 Hg.upf
P 30.97 P.upf
ATOMIC_POSITIONS angstrom
Hg 2.398 0.523 5.816
Hg 3.997 2.611 9.693
Hg 2.398 5.741 5.816
Hg 3.997 7.828 9.693
P 2.398 3.132 3.759
P 3.997 5.220 7.636
P 2.398 3.132 7.872
P 3.997 5.220 11.749
CELL_PARAMETERS angstrom
0.000 4.176 7.754
3.198 0.000 7.754
3.198 4.176 0.000
! - Energy: -0.187 Ry per atom
! - Magnetic moment: 0.00 μB/f.u.
! - DOS at the Fermi energy: 0.9 states/eV per cell
! - E above lowest polymorph: 0.2773 eV/atom